Mn2OsBr, optimized geometry, DFT PBE; formation energy without anion corrections = 1064 meV/atom; energy above the most stable polymorph in this dataset = 293 kJ/mol of formula units; SG = F-43m (216)
1.0
-0.5210 4.2097 1.0220
-2.7481 1.1469 3.1890
1.5579 1.5376 3.7744
Br Mn Os
1 2 1
Cartesian
-0.8556 3.4471 3.9927
-0.4278 1.7236 1.9964
0.0000 0.0000 0.0000
-1.2834 5.1707 5.9891



SrZn9Rh2, optimized geometry, DFT PBE; ΔH_f (0 K) = -7.119 kcal/mol of atoms; SG = I4_1/amd (141)
1.0
-5.1209 -0.8335 -4.7746
0.9521 -6.4944 -5.0936
-6.3561 -4.7608 2.4420
Zn Rh Sr
18 4 2
Cartesian
-5.7629 -3.9999 -0.2852
0.0000 0.0000 0.0000
-3.3202 -3.0591 -4.3592
-1.4293 -3.6190 -2.3966
-7.0664 -4.4564 -2.7004
-3.4854 -9.1415 -3.1201
-8.4613 -8.3665 -4.4381
-1.5672 -7.5689 -4.1622
-3.2225 -3.1936 -0.5475
-5.1134 -2.6337 -2.5101
-6.6681 -8.7919 -6.2871
-4.0929 -7.7355 -5.3172
-4.0234 -5.1783 -5.8381
-5.2786 -8.7161 -1.2711
-7.1359 -7.0136 -2.1795
-6.5427 -6.2527 -4.9067
-1.4977 -5.0116 -4.6831
-5.8324 -6.5571 0.2357
-5.9734 -8.7540 -3.7791
-5.3557 -6.7903 -7.3874
-9.0098 -5.9235 -3.6196
-5.8318 -3.5431 -4.8406
-3.9822 -5.8360 -2.5194
-2.5604 -0.4167 -2.3873



Hf2MnTl, optimized geometry, DFT PBE; energy above the most stable polymorph in this dataset = 0 kJ/mol of formula units; ΔH_f (0 K) = -1.344 kcal/mol of atoms; SG = P4/mmm (123)
1.0
3.1386 0.0000 0.0000
0.0000 3.1386 0.0000
0.0000 0.0000 7.9499
Hf Mn Tl
2 1 1
Cartesian
0.0000 0.0000 1.5348
0.0000 0.0000 6.4152
1.5693 1.5693 0.0000
1.5693 1.5693 3.9750



Zr3TlH3, optimized geometry, DFT PBE; energy above the most stable polymorph in this dataset = 0 kJ/mol of formula units; SG = Pm-3n (223)
1.0
-3.1848 4.3564 -2.1903
-2.3005 -3.6491 -3.9129
-4.2993 -1.2746 3.7163
H Zr Tl
6 6 2
Cartesian
-4.3747 -2.7805 0.8308
-4.5382 2.6300 0.2154
-3.3178 -0.5586 -4.0298
-2.9458 0.4518 1.3106
-2.1675 1.2659 -2.0734
-2.2251 -2.1432 -1.0274
-3.8750 -3.3741 -1.0765
-2.7248 -1.5496 0.8799
-1.9464 -0.7354 -2.5040
-2.6672 1.8596 -0.1661
-4.8169 1.2223 1.6921
-3.5388 1.4428 -3.5992
0.0000 0.0000 0.0000
-4.8923 -0.2836 -1.1935



NdNiHg5, optimized geometry, DFT PBE; ΔH_f (0 K) = -3.936 kcal/mol of atoms; SG = P4/mmm (123)
1.0
4.7400 0.0000 0.0000
0.0000 4.7400 0.0000
0.0000 0.0000 7.4197
Ni Hg Nd
1 5 1
Cartesian
0.0000 0.0000 3.7099
2.3700 0.0000 2.2540
0.0000 2.3700 2.2540
2.3700 0.0000 5.1658
2.3700 2.3700 0.0000
0.0000 2.3700 5.1658
0.0000 0.0000 0.0000



Ac2In3Ge4, optimized geometry, DFT PBE; ΔH_f (0 K) = -8.416 kcal/mol of atoms; SG = Cmce (64)
1.0
6.6784 0.0000 0.0000
0.0000 8.5947 0.0000
-3.3392 0.0000 8.0682
Ge Ac In
8 4 6
Cartesian
1.6696 2.1487 0.7038
3.3392 4.7699 3.0176
3.3392 0.4725 5.0506
-1.6696 6.4460 7.3644
0.0000 3.8248 5.0506
1.6696 6.4460 7.3644
0.0000 8.1222 3.0176
5.0088 2.1487 0.7038
3.3392 7.8897 1.8517
3.3392 3.5924 6.2165
0.0000 0.7050 6.2165
0.0000 5.0023 1.8517
-1.6696 6.4460 4.6448
3.3392 4.2973 0.0000
5.0088 2.1487 3.4234
1.6696 6.4460 4.6448
0.0000 0.0000 0.0000
1.6696 2.1487 3.4234



Na2AcPN4, optimized geometry, DFT PBE; formation energy without anion corrections = -362 meV/atom; SG = I-42m (121)
1.0
5.8328 0.0000 0.0000
2.9164 4.4395 -0.5883
2.9164 -0.0931 4.4773
P N Na Ac
1 4 2 1
Cartesian
2.9164 2.1732 1.9445
7.7575 2.0149 0.6349
3.9080 0.8542 1.9322
7.7575 2.3315 3.2540
3.9080 3.4922 1.9568
5.8328 3.3066 0.6778
5.8328 1.0398 3.2112
0.0000 0.0000 0.0000



Zr2S2O, optimized geometry, DFT PBE; formation energy without anion corrections = -701 meV/atom; energy above the most stable polymorph in this dataset = 463 kJ/mol of formula units; SG = I4/mmm (139)
1.0
-2.3056 3.3943 -0.1312
-3.3557 -2.2514 0.7244
-2.0819 1.3020 6.0361
Zr O S
2 1 2
Cartesian
-5.0985 1.6921 4.9071
-2.6447 0.7529 1.7221
0.0000 0.0000 0.0000
-4.1341 -0.1889 3.5285
-3.6091 2.6339 3.1007



NaBeS2N, optimized geometry, DFT PBE; formation energy without anion corrections = 245 meV/atom; energy above the most stable polymorph in this dataset = 0 kJ/mol of formula units; SG = P4/mmm (123)
1.0
-2.2424 -4.1309 -2.0127
2.7634 -3.0016 3.0818
-2.1629 0.1554 2.0908
N Be Na S
1 1 1 2
Cartesian
-1.0814 0.0777 1.0454
0.0000 0.0000 0.0000
-0.8209 -3.4886 1.5800
1.3817 -1.5008 1.5409
-1.1212 -2.0655 -1.0063



Ca2GeTe, optimized geometry, DFT PBE; formation energy without anion corrections = -719 meV/atom; energy above the most stable polymorph in this dataset = 0 kJ/mol of formula units; SG = Fm-3m (225)
1.0
-4.7644 -0.7924 2.3557
-4.5045 0.1656 -2.9255
-2.7513 -4.5161 -0.9547
Ca Te Ge
2 1 1
Cartesian
-9.0152 -3.8572 -1.1434
-3.0051 -1.2857 -0.3811
-6.0101 -2.5714 -0.7623
0.0000 0.0000 0.0000



Li2CaPb, optimized geometry, DFT PBE; ΔH_f (0 K) = -8.176 kcal/mol of atoms; SG = I-4m2 (119)
1.0
5.1490 -0.0160 0.0143
2.5860 4.4526 0.0143
2.5710 1.4747 4.2152
Ca Li Pb
1 2 1
Cartesian
2.5766 1.4779 1.0615
2.5711 1.4747 4.2130
7.7294 4.4333 3.1841
5.1529 2.9556 2.1223



BaNiSe, optimized geometry, DFT PBE; formation energy without anion corrections = -888 meV/atom; SG = P2_1/m (11)
1.0
5.6130 0.0082 -0.0023
1.2275 6.6901 -0.0036
0.0016 0.0005 4.1702
Se Ba Ni
2 2 2
Cartesian
4.0678 5.0217 3.8246
0.9028 1.3825 1.7438
3.9364 1.6911 3.8262
1.0345 4.7108 1.7405
1.3163 0.3029 3.8300
3.6536 6.1035 1.7396



Ac6Co2Rh, optimized geometry, DFT PBE; ΔH_f (0 K) = -4.741 kcal/mol of atoms; SG = P-31m (162)
1.0
-0.0924 4.9164 -4.7873
-3.4576 -4.6007 -4.6581
-3.9405 4.3348 4.5279
Rh Co Ac
1 2 6
Cartesian
-0.0462 2.4582 -2.3936
-3.6648 0.8360 -3.9897
-3.8258 3.8145 -0.9278
-6.2434 2.6502 0.1488
-1.2471 2.0003 -5.0663
-4.8695 0.4490 -6.5894
-2.5501 1.2553 -1.3551
-4.9404 3.3952 -3.5624
-2.6210 4.2015 1.6719



| no. | spin magnetization (μB/cell) |
| --- | --- |
| 1 | 5.32 |
| 2 | 0.00 |
| 3 | 0.00 |
| 4 | 0.73 |
| 5 | 0.00 |
| 6 | 0.00 |
| 7 | 2.02 |
| 8 | 0.00 |
| 9 | 0.88 |
| 10 | 0.00 |
| 11 | 0.00 |
| 12 | 0.00 |
| 13 | 0.00 |